VASP calculation (PBE) on TlReTe after structural relaxation.

Unit cell a=3.4071 b=3.4071 c=6.9541 alpha=90.00 beta=90.00 gamma=120.00
Last column: nearest neighbours and their distance in Å.
Atoms (fractional coordinates):
1 Te 0.6667 0.3333 0.2750  3 Re 2.63
2 Tl 0.3333 0.6667 0.7016  3 Re 2.98
3 Re 0.0000 0.0000 0.0234  3 Te 2.63

Calculated values
Symmetry ... P3m1
E_form (uncorrected) ... 586 meV/atom
Total magnetization ... 0.0 μB/f.u.
Energy relative to the lowest polymorph listed for this composition ... 0.045 eV/atom